[1]
Li5In2Ag4 after structural relaxation, computed with PBE-GGA.

POSCAR file:
```
Li5In2Ag4
1.0
5.970 -2.669 0.000
5.970 2.669 0.000
-5.319 0.000 6.381
Li In Ag
5 2 4
Direct
0.000 0.000 0.000
0.247 0.747 0.319
0.253 0.753 0.681
0.747 0.247 0.319
0.753 0.253 0.681
0.316 0.316 0.804
0.684 0.684 0.196
0.238 0.238 0.060
0.243 0.243 0.405
0.757 0.757 0.595
0.762 0.762 0.940
```

Values from the calculation:
As for the size of the total moment: 0.0 μB per formula unit. As for the mass density: 5.68 Mg/m³. For the offset from the most stable computed form, the calculation gives 0.011 eV/atom.

[2]
PPt3 after structural relaxation, computed with PBE-GGA.

POSCAR file:
```
PPt3
1.0
-1.953 1.953 4.039
1.953 -1.953 4.039
1.953 1.953 -4.039
P Pt
1 3
Direct
0.000 0.000 0.000
0.250 0.750 0.500
0.500 0.500 0.000
0.750 0.250 0.500
```

Values from the calculation:
As for the size of the total moment: 0.0 μB per formula unit. As for the mass density: 16.61 Mg/m³. For the offset from the most stable computed form, the calculation gives 0.375 eV/atom.

[3]
Y5ErAg4 after structural relaxation, computed with PBE-GGA.

POSCAR file:
```
Y5ErAg4
1.0
3.616 0.000 0.000
0.000 3.616 0.000
0.000 0.000 19.703
Y Er Ag
5 1 4
Direct
0.000 0.000 0.000
0.000 0.000 0.188
0.000 0.000 0.375
0.000 0.000 0.625
0.000 0.000 0.812
0.500 0.500 0.500
0.500 0.500 0.093
0.500 0.500 0.282
0.500 0.500 0.718
0.500 0.500 0.907
```

Values from the calculation:
As for the size of the total moment: 0.0 μB per formula unit. The calculation puts the total energy at -5.081 eV/atom. As for the mass density: 6.72 Mg/m³.

[4]
Ba3TcAu after structural relaxation, computed with PBE-GGA.

POSCAR file:
```
Ba3TcAu
1.0
5.808 0.000 0.000
0.000 5.808 0.000
0.000 0.000 5.808
Ba Tc Au
3 1 1
Direct
0.000 0.000 0.500
0.000 0.500 0.000
0.500 0.000 0.000
0.000 0.000 0.000
0.500 0.500 0.500
```

Values from the calculation:
As for the size of the total moment: 0.0 μB per formula unit. As for the mass density: 5.99 Mg/m³. For the offset from the most stable computed form, the calculation gives 0.000 eV/atom.